1.
# Sc2ReBiO8 | Alexandria via LeMat-Bulk | PBE-GGA | optimized geometry
# Energy = -7.985 eV per atom
# E_form (uncorrected) = -2.263 eV per atom
# Volume = 13.1 Å³ per atom
data_Sc2ReBiO8
_chemical_formula_sum 'Sc4 Re2 Bi2 O16'
_symmetry_space_group_name_H-M 'C m m m'
_symmetry_Int_Tables_number 65
_symmetry_space_group_name_Hall '-C 2 2'
_cell_length_a 6.8900
_cell_length_b 6.9235
_cell_length_c 6.6120
_cell_angle_alpha 90.00
_cell_angle_beta 90.00
_cell_angle_gamma 90.00
loop_
_atom_site_label
_atom_site_fract_x
_atom_site_fract_y
_atom_site_fract_z
Sc1 0.0000 0.0000 0.2444
Re1 0.0000 0.5000 0.5000
Bi1 0.0000 0.5000 0.0000
O1 0.0000 0.1780 0.0000
O2 0.0000 0.2243 0.5000
O3 0.1930 0.5000 0.2915

***

2.
# SmReBi2O8 | Alexandria via LeMat-Bulk | PBE-GGA | optimized geometry
# Energy = -7.167 eV per atom
# E_form (uncorrected) = -1.784 eV per atom
# Volume = 15.6 Å³ per atom
data_SmReBi2O8
_chemical_formula_sum 'Sm1 Re1 Bi2 O8'
_symmetry_space_group_name_H-M 'P 1 2/m 1'
_symmetry_Int_Tables_number 10
_symmetry_space_group_name_Hall '-P 2y'
_cell_length_a 5.2518
_cell_length_b 6.7958
_cell_length_c 5.2574
_cell_angle_alpha 90.00
_cell_angle_beta 91.02
_cell_angle_gamma 90.00
loop_
_atom_site_label
_atom_site_fract_x
_atom_site_fract_y
_atom_site_fract_z
Sm1 0.0000 0.0000 0.0000
Re1 0.0000 0.5000 0.0000
Bi1 0.5000 0.2526 0.5000
O1 0.1803 0.2900 0.1763
O2 0.2450 0.5000 0.7497
O3 0.3097 0.0000 0.6874

***

3.
# Sr2ReBiO6 | Alexandria via LeMat-Bulk | PBE-GGA | optimized geometry
# Energy = -6.837 eV per atom
# E_form (uncorrected) = -1.893 eV per atom
# Volume = 16.7 Å³ per atom
data_Sr2ReBiO6
_chemical_formula_sum 'Sr2 Re1 Bi1 O6'
_symmetry_space_group_name_H-M 'P 4 m m'
_symmetry_Int_Tables_number 99
_symmetry_space_group_name_Hall 'P 4 -2'
_cell_length_a 5.8759
_cell_length_b 5.8759
_cell_length_c 4.8418
_cell_angle_alpha 90.00
_cell_angle_beta 90.00
_cell_angle_gamma 90.00
loop_
_atom_site_label
_atom_site_fract_x
_atom_site_fract_y
_atom_site_fract_z
Sr1 0.0000 0.5000 0.0000
Re1 0.0000 0.0000 0.5841
Bi1 0.5000 0.5000 0.5713
O1 0.0000 0.0000 0.2042
O2 0.2266 0.2266 0.6948
O3 0.5000 0.5000 0.1188

***

4.
# SrReBiO6 | Alexandria via LeMat-Bulk | PBE-GGA | optimized geometry
# Energy = -7.139 eV per atom
# E_form (uncorrected) = -1.833 eV per atom
# Volume = 16.1 Å³ per atom
data_SrReBiO6
_chemical_formula_sum 'Sr1 Re1 Bi1 O6'
_symmetry_space_group_name_H-M 'P 3 1 2'
_symmetry_Int_Tables_number 149
_symmetry_space_group_name_Hall 'P 3 2'
_cell_length_a 5.6713
_cell_length_b 5.6713
_cell_length_c 5.1964
_cell_angle_alpha 90.00
_cell_angle_beta 90.00
_cell_angle_gamma 120.00
loop_
_atom_site_label
_atom_site_fract_x
_atom_site_fract_y
_atom_site_fract_z
Sr1 0.0000 0.0000 0.0000
Re1 0.6667 0.3333 0.5000
Bi1 0.3333 0.6667 0.5000
O1 0.3915 0.0527 0.7096

***

5.
# TbReBi2O8 | Alexandria via LeMat-Bulk | PBE-GGA | optimized geometry
# Energy = -7.175 eV per atom
# E_form (uncorrected) = -1.800 eV per atom
# Volume = 15.4 Å³ per atom
data_TbReBi2O8
_chemical_formula_sum 'Tb1 Re1 Bi2 O8'
_symmetry_space_group_name_H-M 'P 1 2/m 1'
_symmetry_Int_Tables_number 10
_symmetry_space_group_name_Hall '-P 2y'
_cell_length_a 5.2347
_cell_length_b 6.7290
_cell_length_c 5.2385
_cell_angle_alpha 90.00
_cell_angle_beta 90.70
_cell_angle_gamma 90.00
loop_
_atom_site_label
_atom_site_fract_x
_atom_site_fract_y
_atom_site_fract_z
Tb1 0.0000 0.0000 0.0000
Re1 0.0000 0.5000 0.0000
Bi1 0.5000 0.2518 0.5000
O1 0.1785 0.2866 0.1761
O2 0.2475 0.5000 0.7495
O3 0.3060 0.0000 0.6924

***

6.
# Re2BiTeO | Alexandria via LeMat-Bulk | PBE-GGA | optimized geometry
# Energy = -6.455 eV per atom
# E_form (uncorrected) = 0.921 eV per atom
# Volume = 20.2 Å³ per atom
data_Re2BiTeO
_chemical_formula_sum 'Re2 Bi1 Te1 O1'
_symmetry_space_group_name_H-M 'P 4/m m m'
_symmetry_Int_Tables_number 123
_symmetry_space_group_name_Hall '-P 4 2'
_cell_length_a 4.0843
_cell_length_b 4.0843
_cell_length_c 6.0415
_cell_angle_alpha 90.00
_cell_angle_beta 90.00
_cell_angle_gamma 90.00
loop_
_atom_site_label
_atom_site_fract_x
_atom_site_fract_y
_atom_site_fract_z
Re1 0.0000 0.5000 0.0000
Bi1 0.0000 0.0000 0.5000
Te1 0.5000 0.5000 0.5000
O1 0.5000 0.5000 0.0000

***

7.
# TlReBiO6 | Alexandria via LeMat-Bulk | PBE-GGA | optimized geometry
# Energy = -6.565 eV per atom
# E_form (uncorrected) = -1.182 eV per atom
# Volume = 15.6 Å³ per atom
data_TlReBiO6
_chemical_formula_sum 'Tl1 Re1 Bi1 O6'
_symmetry_space_group_name_H-M 'P 3 1 2'
_symmetry_Int_Tables_number 149
_symmetry_space_group_name_Hall 'P 3 2'
_cell_length_a 5.7087
_cell_length_b 5.7087
_cell_length_c 4.9902
_cell_angle_alpha 90.00
_cell_angle_beta 90.00
_cell_angle_gamma 120.00
loop_
_atom_site_label
_atom_site_fract_x
_atom_site_fract_y
_atom_site_fract_z
Tl1 0.0000 0.0000 0.0000
Re1 0.6667 0.3333 0.5000
Bi1 0.3333 0.6667 0.5000
O1 0.3970 0.0502 0.7179

***

8.
# TlRe2BiO8 | Alexandria via LeMat-Bulk | PBE-GGA | optimized geometry
# Energy = -7.221 eV per atom
# E_form (uncorrected) = -1.320 eV per atom
# Volume = 20.5 Å³ per atom
data_TlRe2BiO8
_chemical_formula_sum 'Tl2 Re4 Bi2 O16'
_symmetry_space_group_name_H-M 'C 1 2/m 1'
_symmetry_Int_Tables_number 12
_symmetry_space_group_name_Hall '-C 2y'
_cell_length_a 12.1019
_cell_length_b 7.1613
_cell_length_c 5.8327
_cell_angle_alpha 90.00
_cell_angle_beta 102.75
_cell_angle_gamma 90.00
loop_
_atom_site_label
_atom_site_fract_x
_atom_site_fract_y
_atom_site_fract_z
Tl1 0.0000 0.0000 0.0000
Re1 0.1864 0.5000 0.1515
Bi1 0.0000 0.5000 0.5000
O1 0.1094 0.3229 0.2831
O2 0.1507 0.5000 0.8377
O3 0.1683 0.0000 0.7267

***

9.
# Tl2Re3BiO12 | Alexandria via LeMat-Bulk | PBE-GGA | optimized geometry
# Energy = -7.222 eV per atom
# E_form (uncorrected) = -1.363 eV per atom
# Volume = 16.6 Å³ per atom
data_Tl2Re3BiO12
_chemical_formula_sum 'Tl6 Re9 Bi3 O36'
_symmetry_space_group_name_H-M 'R -3 m'
_symmetry_Int_Tables_number 166
_symmetry_space_group_name_Hall '-R 3 2"'
_cell_length_a 7.4274
_cell_length_b 7.4274
_cell_length_c 18.7340
_cell_angle_alpha 90.00
_cell_angle_beta 90.00
_cell_angle_gamma 120.00
loop_
_atom_site_label
_atom_site_fract_x
_atom_site_fract_y
_atom_site_fract_z
Tl1 0.0000 0.0000 0.1473
Re1 0.0000 0.5000 0.0000
Bi1 0.0000 0.0000 0.5000
O1 0.0228 0.5114 0.0999
O2 0.0891 0.5446 0.3391

***

Question: Among the records above, which one has the highest volume?
Answer: TlRe2BiO8